Density functional theory data (PBE) for a relaxed structure of Pm5Ag2Pb2.

Output
**Formation energy from the elements**: -2.959 eV per formula unit

a = 8.153 Å, b = 8.343 Å, c = 9.036 Å
α = 117.49°, β = 90.00°, γ = 90.00°
Fractional coordinates of all 18 atoms:
Pm (0.166, 0.193, 0.732)
Pm (0.666, 0.039, 0.732)
Pm (0.500, 0.500, 0.000)
Pm (0.000, 0.000, 0.000)
Pm (0.334, 0.693, 0.732)
Pm (0.666, 0.307, 0.268)
Pm (0.834, 0.539, 0.732)
Pm (0.166, 0.461, 0.268)
Pm (0.834, 0.807, 0.268)
Pm (0.334, 0.961, 0.268)
Pb (0.000, 0.793, 0.585)
Pb (0.500, 0.707, 0.415)
Pb (0.500, 0.293, 0.585)
Pb (0.000, 0.207, 0.415)
Ag (0.373, 0.124, 0.000)
Ag (0.873, 0.376, 0.000)
Ag (0.127, 0.624, 0.000)
Ag (0.627, 0.876, 0.000)